Record 1
A plane-wave DFT calculation with PBE was carried out for a relaxed CaCoPdI2 crystal.

The structure belongs to space group P4/mmm (No. 123); the cell edges are 5.9644, 5.9644 and 5.4064 Å and the angles 90.00°, 90.00° and 90.00°. Symmetry generates all atoms from Ca at (0.0000, 0.0000, 0.0000), Co at (0.0000, 0.0000, 0.5000), Pd at (0.5000, 0.5000, 0.5000) and I at (0.0000, 0.5000, 0.0000).

=====

Record 2
A plane-wave DFT calculation with PBE was carried out for a relaxed Rb2CaCoI6 crystal.

The structure belongs to space group Fm-3m (No. 225); the cell edges are 11.8188, 11.8188 and 11.8188 Å and the angles 90.00°, 90.00° and 90.00°. Symmetry generates all atoms from Rb at (0.2500, 0.2500, 0.2500), Ca at (0.0000, 0.0000, 0.0000), Co at (0.0000, 0.0000, 0.5000) and I at (0.0000, 0.0000, 0.2628).

=====

Number 1: uncorrected formation energy 0.684 eV/atom, final energy -2.80 eV/atom. Number 2: uncorrected formation energy -0.989 eV/atom, final energy -3.02 eV/atom.